Density functional theory data (GGA-PBE) for Pm3Hg3RhO8 after structural relaxation.

Cell: 6.957 6.959 7.414 Å, 117.95 90.00 119.99°
Positions (direct):
O (0.795, 0.590, 0.321)
O (0.231, 0.026, 0.321)
O (0.277, 0.554, 0.331)
O (0.723, 0.446, 0.669)
O (0.205, 0.410, 0.679)
O (0.205, 0.974, 0.679)
O (0.795, 0.026, 0.321)
O (0.769, 0.974, 0.679)
Pm (0.000, 0.500, 0.500)
Pm (0.500, 0.500, 0.500)
Pm (0.500, 0.000, 0.500)
Hg (0.000, 0.500, 0.000)
Hg (0.500, 0.500, 0.000)
Hg (0.000, 0.000, 0.000)
Rh (0.000, 0.000, 0.500)

- Space-group type: R-3m, No. 166
- D(E_F): 0.399 states/eV/atom
- Energy relative to the elements, uncorrected: -1.658 eV/atom

Density functional theory data (GGA-PBE) for TbPmSmN3 after structural relaxation.

Cell: 3.525 6.121 9.211 Å, 101.39 90.00 90.00°
Positions (direct):
N (0.250, 0.964, 0.842)
N (0.750, 0.536, 0.174)
N (0.750, 0.248, 0.504)
N (0.250, 0.752, 0.496)
N (0.250, 0.464, 0.826)
N (0.750, 0.036, 0.158)
Pm (0.250, 0.342, 0.303)
Pm (0.750, 0.658, 0.697)
Sm (0.750, 0.231, 0.953)
Sm (0.250, 0.769, 0.047)
Tb (0.750, 0.846, 0.363)
Tb (0.250, 0.154, 0.637)

- Space-group type: P2_1/m, No. 11
- Energy relative to the elements, uncorrected: -1.343 eV/atom

Density functional theory data (GGA-PBE) for Pm6GeRu2I3 after structural relaxation.

Cell: 7.322 7.322 8.353 Å, 98.47 98.47 120.04°
Positions (direct):
Ru (0.667, 0.333, 0.000)
Ru (0.333, 0.667, 0.000)
I (0.163, 0.837, 0.500)
I (0.837, 0.163, 0.500)
I (0.500, 0.500, 0.500)
Ge (0.000, 0.000, 0.000)
Pm (0.413, 0.062, 0.188)
Pm (0.711, 0.711, 0.187)
Pm (0.587, 0.938, 0.812)
Pm (0.062, 0.413, 0.188)
Pm (0.289, 0.289, 0.813)
Pm (0.938, 0.587, 0.812)

- Space-group type: C2/m, No. 12
- D(E_F): 0.726 states/eV/atom
- Energy relative to the elements, uncorrected: -0.755 eV/atom

Density functional theory data (GGA-PBE) for Na2PmUO6 after structural relaxation.

Cell: 5.868 6.023 8.410 Å, 90.00 89.93 90.00°
Site moments in Bohr magnetons follow the coordinates.
Positions (direct):
Pm (0.500, 0.000, 0.000)  0.01
Pm (0.000, 0.500, 0.500)  0.01
Na (0.506, 0.538, 0.753)  0.00
Na (0.494, 0.462, 0.247)  0.00
Na (0.994, 0.038, 0.747)  0.00
Na (0.006, 0.962, 0.253)  0.00
O (0.676, 0.286, 0.560)  0.13
O (0.789, 0.819, 0.551)  0.12
O (0.211, 0.181, 0.449)  0.12
O (0.105, 0.452, 0.767)  0.13
O (0.289, 0.681, 0.051)  0.12
O (0.176, 0.214, 0.060)  0.13
O (0.395, 0.952, 0.733)  0.13
O (0.605, 0.048, 0.267)  0.13
O (0.824, 0.786, 0.940)  0.13
O (0.895, 0.548, 0.233)  0.13
O (0.324, 0.714, 0.440)  0.13
O (0.711, 0.319, 0.949)  0.12
U (0.000, 0.500, 0.000)  0.06
U (0.500, 0.000, 0.500)  0.06

- Space-group type: P2_1/c, No. 14
- D(E_F): 0.992 states/eV/atom
- Energy relative to the elements, uncorrected: -2.589 eV/atom

Density functional theory data (GGA-PBE) for La2Ni2Te after structural relaxation.

Cell: 7.633 7.633 3.918 Å, 90.00 90.00 90.00°
Positions (direct):
Te (0.500, 0.500, 0.000)
Te (0.000, 0.000, 0.000)
Ni (0.114, 0.386, 0.000)
Ni (0.886, 0.614, 0.000)
Ni (0.614, 0.114, 0.000)
Ni (0.386, 0.886, 0.000)
La (0.820, 0.320, 0.500)
La (0.320, 0.180, 0.500)
La (0.180, 0.680, 0.500)
La (0.680, 0.820, 0.500)

- Space-group type: P4/mbm, No. 127
- D(E_F): 0.361 states/eV/atom
- Energy above the lowest structure with this stoichiometry: 0 meV per atom
- Energy relative to the elements, uncorrected: -0.708 eV/atom

Density functional theory data (GGA-PBE) for SmThCd3 after structural relaxation.

Cell: 5.064 3.432 15.291 Å, 96.44 90.00 90.00°
Positions (direct):
Cd (0.750, 0.621, 0.243)
Cd (0.750, 0.325, 0.651)
Cd (0.250, 0.379, 0.757)
Cd (0.250, 0.476, 0.952)
Cd (0.750, 0.524, 0.048)
Cd (0.250, 0.675, 0.349)
Th (0.750, 0.926, 0.851)
Th (0.250, 0.074, 0.149)
Sm (0.250, 0.785, 0.571)
Sm (0.750, 0.215, 0.429)

- Space-group type: Cmcm, No. 63
- D(E_F): 0.822 states/eV/atom
- DFT formation energy: -0.210 eV per atom

Computed E (eV per cell) in order:
-87.04 -94.27 -65.38 -148.63 -56.19 -31.87